1.
The following is a DFT calculation (PBEsol) of an optimized crystal structure of CdPt2W.

electronic total energy	-0.5549	Ry/atom
E_form	-122	kJ/mol of formula units

Geometry as CIF:
```
data_CdPt2W
_cell_length_a 2.801
_cell_length_b 2.801
_cell_length_c 8.107
_cell_angle_alpha 90.00
_cell_angle_beta 90.00
_cell_angle_gamma 90.00
_symmetry_space_group_name_H-M 'P 4/m m m'
_symmetry_Int_Tables_number 123
_symmetry_space_group_name_Hall '-P 4 2'
loop_
_atom_site_label
_atom_site_type_symbol
_atom_site_fract_x
_atom_site_fract_y
_atom_site_fract_z
Cd1 Cd 0.000 0.000 0.000
Pt1 Pt 0.500 0.500 0.269
W1 W 0.000 0.000 0.500
```

---

2.
The following is a DFT calculation (PBEsol) of an optimized crystal structure of ReMoO3.

electronic total energy	-0.6227	Ry/atom

Geometry as CIF:
```
data_ReMoO3
_cell_length_a 3.896
_cell_length_b 3.896
_cell_length_c 3.896
_cell_angle_alpha 90.00
_cell_angle_beta 90.00
_cell_angle_gamma 90.00
_symmetry_space_group_name_H-M 'P m -3 m'
_symmetry_Int_Tables_number 221
_symmetry_space_group_name_Hall '-P 4 2 3'
loop_
_atom_site_label
_atom_site_type_symbol
_atom_site_fract_x
_atom_site_fract_y
_atom_site_fract_z
Re1 Re 0.000 0.000 0.000
Mo1 Mo 0.500 0.500 0.500
O1 O 0.000 0.000 0.500
```

---

3.
The following is a DFT calculation (PBEsol) of an optimized crystal structure of MgIn2P.

electronic total energy	-0.2566	Ry/atom
E_form	-47	kJ/mol of formula units
energy above the lowest structure with this stoichiometry	0.5	kJ/mol of atoms

Geometry as CIF:
```
data_MgIn2P
_cell_length_a 3.8161
_cell_length_b 3.8161
_cell_length_c 22.0796
_cell_angle_alpha 90.00
_cell_angle_beta 90.00
_cell_angle_gamma 120.00
_symmetry_space_group_name_H-M 'R 3 m'
_symmetry_Int_Tables_number 160
_symmetry_space_group_name_Hall 'R 3 -2"'
loop_
_atom_site_label
_atom_site_type_symbol
_atom_site_fract_x
_atom_site_fract_y
_atom_site_fract_z
Mg1 Mg 0.0000 0.0000 0.0000
In1 In 0.0000 0.0000 0.5384
In2 In 0.0000 0.0000 0.7694
P1 P 0.0000 0.0000 0.2719
```

---

4.
The following is a DFT calculation (PBEsol) of an optimized crystal structure of HfCuTc2.

electronic total energy	-0.6725	Ry/atom
E_form	74	kJ/mol of formula units

Geometry as CIF:
```
data_HfCuTc2
_cell_length_a 6.182
_cell_length_b 6.182
_cell_length_c 6.182
_cell_angle_alpha 90.00
_cell_angle_beta 90.00
_cell_angle_gamma 90.00
_symmetry_space_group_name_H-M 'F m -3 m'
_symmetry_Int_Tables_number 225
_symmetry_space_group_name_Hall '-F 4 2 3'
loop_
_atom_site_label
_atom_site_type_symbol
_atom_site_fract_x
_atom_site_fract_y
_atom_site_fract_z
Hf1 Hf 0.000 0.000 0.000
Cu1 Cu 0.000 0.000 0.500
Tc1 Tc 0.250 0.250 0.250
```

---

5.
The following is a DFT calculation (PBEsol) of an optimized crystal structure of CsMgTe3.

electronic total energy	-0.2221	Ry/atom

Geometry as CIF:
```
data_CsMgTe3
_cell_length_a 5.585
_cell_length_b 5.585
_cell_length_c 5.585
_cell_angle_alpha 90.00
_cell_angle_beta 90.00
_cell_angle_gamma 90.00
_symmetry_space_group_name_H-M 'P m -3 m'
_symmetry_Int_Tables_number 221
_symmetry_space_group_name_Hall '-P 4 2 3'
loop_
_atom_site_label
_atom_site_type_symbol
_atom_site_fract_x
_atom_site_fract_y
_atom_site_fract_z
Cs1 Cs 0.000 0.000 0.000
Mg1 Mg 0.500 0.500 0.500
Te1 Te 0.000 0.500 0.500
```

---

6.
The following is a DFT calculation (PBEsol) of an optimized crystal structure of Ta4NiS8.

electronic total energy	-0.5931	Ry/atom

Geometry as CIF:
```
data_Ta4NiS8
_cell_length_a 3.3059
_cell_length_b 3.3059
_cell_length_c 23.9298
_cell_angle_alpha 90.00
_cell_angle_beta 90.00
_cell_angle_gamma 120.00
_symmetry_space_group_name_H-M 'P -3 m 1'
_symmetry_Int_Tables_number 164
_symmetry_space_group_name_Hall '-P 3 2"'
loop_
_atom_site_label
_atom_site_type_symbol
_atom_site_fract_x
_atom_site_fract_y
_atom_site_fract_z
Ta1 Ta 0.0000 0.0000 0.1212
Ta2 Ta 0.0000 0.0000 0.3749
Ni1 Ni 0.0000 0.0000 0.0000
S1 S 0.3333 0.6667 0.0561
S2 S 0.3333 0.6667 0.1861
S3 S 0.3333 0.6667 0.5602
S4 S 0.3333 0.6667 0.6902
```

---

7.
The following is a DFT calculation (PBEsol) of an optimized crystal structure of Al2CdAs.

electronic total energy	-0.2577	Ry/atom
E_form	45	kJ/mol of formula units
energy above the lowest structure with this stoichiometry	0.0	kJ/mol of atoms

Geometry as CIF:
```
data_Al2CdAs
_cell_length_a 3.058
_cell_length_b 3.058
_cell_length_c 7.918
_cell_angle_alpha 90.00
_cell_angle_beta 90.00
_cell_angle_gamma 90.00
_symmetry_space_group_name_H-M 'P 4 m m'
_symmetry_Int_Tables_number 99
loop_
_symmetry_equiv_pos_as_xyz
'x,y,z'
'-y,x,z'
'-x,-y,z'
'y,-x,z'
'-x,y,z'
'y,x,z'
'x,-y,z'
'-y,-x,z'
loop_
_atom_site_label
_atom_site_type_symbol
_atom_site_fract_x
_atom_site_fract_y
_atom_site_fract_z
Al1 Al 0.000 0.000 0.000
Al2 Al 0.500 0.500 0.231
Cd1 Cd 0.500 0.500 0.736
As1 As 0.000 0.000 0.447
```

---

8.
The following is a DFT calculation (PBEsol) of an optimized crystal structure of Cr2SiMo.

electronic total energy	-0.7092	Ry/atom

Geometry as CIF:
```
data_Cr2SiMo
_cell_length_a 4.028
_cell_length_b 4.028
_cell_length_c 3.061
_cell_angle_alpha 90.00
_cell_angle_beta 90.00
_cell_angle_gamma 90.00
_symmetry_space_group_name_H-M 'P 4/m m m'
_symmetry_Int_Tables_number 123
_symmetry_space_group_name_Hall '-P 4 2'
loop_
_atom_site_label
_atom_site_type_symbol
_atom_site_fract_x
_atom_site_fract_y
_atom_site_fract_z
Cr1 Cr 0.000 0.500 0.000
Si1 Si 0.000 0.000 0.500
Mo1 Mo 0.500 0.500 0.500
```

---

9.
The following is a DFT calculation (PBEsol) of an optimized crystal structure of Zn2IrRh.

electronic total energy	-0.4040	Ry/atom
E_form	-83	kJ/mol of formula units

Geometry as CIF:
```
data_Zn2IrRh
_cell_length_a 8.407
_cell_length_b 2.748
_cell_length_c 4.768
_cell_angle_alpha 90.00
_cell_angle_beta 100.79
_cell_angle_gamma 90.00
_symmetry_space_group_name_H-M 'C 1 2/m 1'
_symmetry_Int_Tables_number 12
loop_
_symmetry_equiv_pos_as_xyz
'x,y,z'
'-x,-y,-z'
'-x,y,-z'
'x,-y,z'
'x+1/2,y+1/2,z'
'-x+1/2,-y+1/2,-z'
'-x+1/2,y+1/2,-z'
'x+1/2,-y+1/2,z'
loop_
_atom_site_label
_atom_site_type_symbol
_atom_site_fract_x
_atom_site_fract_y
_atom_site_fract_z
Zn1 Zn 0.250 0.000 0.248
Ir1 Ir 0.000 0.000 0.500
Rh1 Rh 0.000 0.500 0.000
```

---

10.
The following is a DFT calculation (PBEsol) of an optimized crystal structure of KTl2Cd.

electronic total energy	-0.1363	Ry/atom
E_form	17	kJ/mol of formula units

Geometry as CIF:
```
data_KTl2Cd
_cell_length_a 3.6259
_cell_length_b 3.6259
_cell_length_c 30.8250
_cell_angle_alpha 90.00
_cell_angle_beta 90.00
_cell_angle_gamma 120.00
_symmetry_space_group_name_H-M 'R -3 m'
_symmetry_Int_Tables_number 166
_symmetry_space_group_name_Hall '-R 3 2"'
loop_
_atom_site_label
_atom_site_type_symbol
_atom_site_fract_x
_atom_site_fract_y
_atom_site_fract_z
K1 K 0.0000 0.0000 0.0000
Tl1 Tl 0.0000 0.0000 0.2394
Cd1 Cd 0.0000 0.0000 0.5000
```

---

11.
The following is a DFT calculation (PBEsol) of an optimized crystal structure of TlBiSeBr2.

electronic total energy	-0.2417	Ry/atom

Geometry as CIF:
```
data_TlBiSeBr2
_cell_length_a 5.679
_cell_length_b 5.679
_cell_length_c 5.511
_cell_angle_alpha 90.00
_cell_angle_beta 90.00
_cell_angle_gamma 90.00
_symmetry_space_group_name_H-M 'P 4/m m m'
_symmetry_Int_Tables_number 123
_symmetry_space_group_name_Hall '-P 4 2'
loop_
_atom_site_label
_atom_site_type_symbol
_atom_site_fract_x
_atom_site_fract_y
_atom_site_fract_z
Tl1 Tl 0.000 0.000 0.000
Bi1 Bi 0.500 0.500 0.500
Se1 Se 0.500 0.500 0.000
Br1 Br 0.000 0.500 0.500
```

---

12.
The following is a DFT calculation (PBEsol) of an optimized crystal structure of Zr3AlN.

electronic total energy	-0.6656	Ry/atom

Geometry as CIF:
```
data_Zr3AlN
_cell_length_a 3.339
_cell_length_b 11.454
_cell_length_c 8.937
_cell_angle_alpha 90.00
_cell_angle_beta 90.00
_cell_angle_gamma 90.00
_symmetry_space_group_name_H-M 'C m c m'
_symmetry_Int_Tables_number 63
_symmetry_space_group_name_Hall '-C 2c 2'
loop_
_atom_site_label
_atom_site_type_symbol
_atom_site_fract_x
_atom_site_fract_y
_atom_site_fract_z
Zr1 Zr 0.000 0.044 0.250
Zr2 Zr 0.000 0.373 0.042
Al1 Al 0.000 0.253 0.750
N1 N 0.000 0.000 0.000
```

---

13.
The following is a DFT calculation (PBEsol) of an optimized crystal structure of Nd3Pd4.

electronic total energy	-0.4699	Ry/atom
E_form	-522	kJ/mol of formula units

Geometry as CIF:
```
data_Nd3Pd4
_cell_length_a 13.4812
_cell_length_b 13.4812
_cell_length_c 5.7468
_cell_angle_alpha 90.00
_cell_angle_beta 90.00
_cell_angle_gamma 120.00
_symmetry_space_group_name_H-M 'R -3'
_symmetry_Int_Tables_number 148
_symmetry_space_group_name_Hall '-R 3'
loop_
_atom_site_label
_atom_site_type_symbol
_atom_site_fract_x
_atom_site_fract_y
_atom_site_fract_z
Nd1 Nd 0.0431 0.8330 0.2380
Pd1 Pd 0.0000 0.0000 0.0000
Pd2 Pd 0.0000 0.0000 0.5000
Pd3 Pd 0.0559 0.7801 0.7229
```

---

14.
The following is a DFT calculation (PBEsol) of an optimized crystal structure of Ba6GdRe3O18.

electronic total energy	-0.6053	Ry/atom

Geometry as CIF:
```
data_Ba6GdRe3O18
_cell_length_a 10.078
_cell_length_b 17.451
_cell_length_c 9.944
_cell_angle_alpha 90.00
_cell_angle_beta 109.74
_cell_angle_gamma 90.00
_symmetry_space_group_name_H-M 'C 1 2/m 1'
_symmetry_Int_Tables_number 12
loop_
_symmetry_equiv_pos_as_xyz
'x,y,z'
'-x,-y,-z'
'-x,y,-z'
'x,-y,z'
'x+1/2,y+1/2,z'
'-x+1/2,-y+1/2,-z'
'-x+1/2,y+1/2,-z'
'x+1/2,-y+1/2,z'
loop_
_atom_site_label
_atom_site_type_symbol
_atom_site_fract_x
_atom_site_fract_y
_atom_site_fract_z
Ba1 Ba 0.131 0.000 0.390
Ba2 Ba 0.131 0.333 0.396
Ba3 Ba 0.201 0.159 0.125
Ba4 Ba 0.223 0.500 0.127
Gd1 Gd 0.000 0.333 0.000
Re1 Re 0.076 0.166 0.730
Re2 Re 0.078 0.500 0.730
O1 O 0.041 0.423 0.860
O2 O 0.045 0.244 0.861
O3 O 0.048 0.094 0.858
O4 O 0.114 0.168 0.371
O5 O 0.115 0.500 0.366
O6 O 0.120 0.421 0.629
O7 O 0.122 0.089 0.627
O8 O 0.125 0.247 0.637
O9 O 0.225 0.333 0.140
O10 O 0.237 0.000 0.140
```

---

15.
The following is a DFT calculation (PBEsol) of an optimized crystal structure of BaZnHg2.

electronic total energy	-0.1062	Ry/atom
E_form	-88	kJ/mol of formula units

Geometry as CIF:
```
data_BaZnHg2
_cell_length_a 3.635
_cell_length_b 3.635
_cell_length_c 7.661
_cell_angle_alpha 90.00
_cell_angle_beta 90.00
_cell_angle_gamma 90.00
_symmetry_space_group_name_H-M 'P 4/m m m'
_symmetry_Int_Tables_number 123
_symmetry_space_group_name_Hall '-P 4 2'
loop_
_atom_site_label
_atom_site_type_symbol
_atom_site_fract_x
_atom_site_fract_y
_atom_site_fract_z
Ba1 Ba 0.000 0.000 0.000
Zn1 Zn 0.000 0.000 0.500
Hg1 Hg 0.500 0.500 0.303
```

---

16.
The following is a DFT calculation (PBEsol) of an optimized crystal structure of RbAl2Ni.

electronic total energy	-0.2276	Ry/atom
E_form	288	kJ/mol of formula units

Geometry as CIF:
```
data_RbAl2Ni
_cell_length_a 6.781
_cell_length_b 6.781
_cell_length_c 6.781
_cell_angle_alpha 90.00
_cell_angle_beta 90.00
_cell_angle_gamma 90.00
_symmetry_space_group_name_H-M 'F m -3 m'
_symmetry_Int_Tables_number 225
_symmetry_space_group_name_Hall '-F 4 2 3'
loop_
_atom_site_label
_atom_site_type_symbol
_atom_site_fract_x
_atom_site_fract_y
_atom_site_fract_z
Rb1 Rb 0.000 0.000 0.000
Al1 Al 0.250 0.250 0.250
Ni1 Ni 0.000 0.000 0.500
```

---

17.
The following is a DFT calculation (PBEsol) of an optimized crystal structure of MnFe3O.

electronic total energy	-0.6224	Ry/atom

Geometry as CIF:
```
data_MnFe3O
_cell_length_a 3.794
_cell_length_b 3.794
_cell_length_c 3.794
_cell_angle_alpha 90.00
_cell_angle_beta 90.00
_cell_angle_gamma 90.00
_symmetry_space_group_name_H-M 'P m -3 m'
_symmetry_Int_Tables_number 221
_symmetry_space_group_name_Hall '-P 4 2 3'
loop_
_atom_site_label
_atom_site_type_symbol
_atom_site_fract_x
_atom_site_fract_y
_atom_site_fract_z
Mn1 Mn 0.000 0.000 0.000
Fe1 Fe 0.000 0.500 0.500
O1 O 0.500 0.500 0.500
```

---

18.
The following is a DFT calculation (PBEsol) of an optimized crystal structure of Li5Pb.

electronic total energy	-0.1880	Ry/atom
E_form	-146	kJ/mol of formula units
energy above the lowest structure with this stoichiometry	0.0	kJ/mol of atoms

Geometry as CIF:
```
data_Li5Pb
_cell_length_a 4.6878
_cell_length_b 4.6878
_cell_length_c 5.7723
_cell_angle_alpha 90.00
_cell_angle_beta 90.00
_cell_angle_gamma 120.00
_symmetry_space_group_name_H-M 'P -3 m 1'
_symmetry_Int_Tables_number 164
_symmetry_space_group_name_Hall '-P 3 2"'
loop_
_atom_site_label
_atom_site_type_symbol
_atom_site_fract_x
_atom_site_fract_y
_atom_site_fract_z
Li1 Li 0.0000 0.0000 0.0000
Li2 Li 0.3333 0.6667 0.2417
Li3 Li 0.3333 0.6667 0.6965
Pb1 Pb 0.0000 0.0000 0.5000
```

---

19.
The following is a DFT calculation (PBEsol) of an optimized crystal structure of LaHPt3.

electronic total energy	-0.3065	Ry/atom
energy above the lowest structure with this stoichiometry	225.3	kJ/mol of atoms

Geometry as CIF:
```
data_LaHPt3
_cell_length_a 5.176
_cell_length_b 5.176
_cell_length_c 5.176
_cell_angle_alpha 90.00
_cell_angle_beta 90.00
_cell_angle_gamma 90.00
_symmetry_space_group_name_H-M 'P m -3 m'
_symmetry_Int_Tables_number 221
_symmetry_space_group_name_Hall '-P 4 2 3'
loop_
_atom_site_label
_atom_site_type_symbol
_atom_site_fract_x
_atom_site_fract_y
_atom_site_fract_z
La1 La 0.000 0.000 0.000
H1 H 0.500 0.500 0.500
Pt1 Pt 0.000 0.000 0.500
```

---

20.
The following is a DFT calculation (PBEsol) of an optimized crystal structure of Li2TaZnW.

electronic total energy	-0.3242	Ry/atom
E_form	947	kJ/mol of formula units

Geometry as CIF:
```
data_Li2TaZnW
_cell_length_a 4.296
_cell_length_b 4.296
_cell_length_c 4.672
_cell_angle_alpha 90.00
_cell_angle_beta 90.00
_cell_angle_gamma 90.00
_symmetry_space_group_name_H-M 'P 4/m m m'
_symmetry_Int_Tables_number 123
_symmetry_space_group_name_Hall '-P 4 2'
loop_
_atom_site_label
_atom_site_type_symbol
_atom_site_fract_x
_atom_site_fract_y
_atom_site_fract_z
Li1 Li 0.000 0.500 0.000
Ta1 Ta 0.000 0.000 0.500
Zn1 Zn 0.500 0.500 0.500
W1 W 0.500 0.500 0.000
```